(1)
Here is a PBEsol-optimized structure of KLiIr2 from Alexandria via LeMat-Bulk. Energies are from SCAN.

Unit cell a=2.740 b=4.618 c=5.170 alpha=90.00 beta=90.00 gamma=90.00
Sites, in units of the cell vectors:
K: 0.000 0.000 0.000
Li: 0.500 0.500 0.000
Ir: 0.000 0.500 0.500
Ir: 0.500 0.000 0.500

Calculated values
Calculated formation energy in kJ/mol of formula units: 160
SG: Pmmm (47)
Calculated volume in Å³ per cell: 65.4



(2)
Here is a PBEsol-optimized structure of KLiIr2 from Alexandria via LeMat-Bulk. Energies are from SCAN.

Unit cell a=2.617 b=2.617 c=9.461 alpha=90.00 beta=90.00 gamma=90.00
Sites, in units of the cell vectors:
K: 0.000 0.000 0.000
Li: 0.000 0.000 0.500
Ir: 0.500 0.500 0.287
Ir: 0.500 0.500 0.713

Calculated values
Calculated formation energy in kJ/mol of formula units: 163
SG: P4/mmm (123)
Calculated volume in Å³ per cell: 64.8



(3)
Here is a PBEsol-optimized structure of KLiIr3 from Alexandria via LeMat-Bulk. Energies are from SCAN.

Unit cell a=4.661 b=4.661 c=4.661 alpha=90.00 beta=90.00 gamma=90.00
Sites, in units of the cell vectors:
K: 0.000 0.000 0.000
Li: 0.500 0.500 0.500
Ir: 0.000 0.000 0.500
Ir: 0.000 0.500 0.000
Ir: 0.500 0.000 0.000

Calculated values
Calculated formation energy in kJ/mol of formula units: 1526
SG: Pm-3m (221)
Calculated volume in Å³ per cell: 101.3



(4)
Here is a PBEsol-optimized structure of KMg2Ir from Alexandria via LeMat-Bulk. Energies are from SCAN.

Unit cell a=4.896 b=4.896 c=8.068 alpha=106.21 beta=106.21 gamma=36.92
Sites, in units of the cell vectors:
K: 0.000 0.000 0.000
Mg: 0.164 0.164 0.619
Mg: 0.367 0.367 0.368
Ir: 0.639 0.639 0.360

Calculated values
Calculated formation energy in kJ/mol of formula units: 33
SG: Cm (8)
Calculated volume in Å³ per cell: 111.0



Table of total energy (Ha/atom), in record order: -1.3897 -1.3894 -1.5303 -0.8180